Computed, not measured: crystalline Er3TmSc6 at its relaxed geometry at the PBE-GGA level of DFT.

It has space group Cmc2_1 (No. 36), with a = 10.437 Å, b = 17.909 Å, c = 5.813 Å, α = 90.00°, β = 90.00° and γ = 90.00°. The asymmetric unit holds Er at (0.000, 0.106, 0.000), Er at (0.173, 0.394, 0.406), Tm at (0.000, 0.290, 0.093), Sc at (0.000, 0.215, 0.577), Sc at (0.000, 0.452, 0.870), Sc at (0.165, 0.051, 0.461) and Sc at (0.247, 0.287, 0.801).

As for the energy above the most stable polymorph in this dataset: 0.0 kJ/mol of atoms. Its total energy is -54.6 eV/f.u. As for the formation energy: 0.16 eV per atom. For the total moment, the calculation gives 0.26 μB/f.u. For the density of states at the Fermi level, the calculation gives 16.20 states/eV/f.u.